Record 1
## HoSnP2O8 (PBE-GGA)

Data for HoSnP2O8 after structural relaxation.

The structure belongs to space group R-3 (No. 148, hexagonal axes); the cell edges are 4.9804, 4.9804 and 21.9657 Å and the angles 90.00°, 90.00° and 120.00°. The asymmetric unit holds Ho at (0.0000, 0.0000, 0.0000), Sn at (0.0000, 0.0000, 0.5000), P at (0.0000, 0.0000, 0.2483), O at (0.0000, 0.0000, 0.1772) and O at (0.0085, 0.7092, 0.2703).

Its total energy is -7.139 eV per atom. As for the density: 5.00 g/cm3. As for the energy relative to the elements, uncorrected: -2.217 eV per atom. As for the spin magnetization: 1.0 μB per formula unit. The calculated volume is 13.11 Å³ per atom.

Record 2
## Sm4Te5S (PBE-GGA)

Data for Sm4Te5S after structural relaxation.

The structure belongs to space group C2/m (No. 12); the cell edges are 19.087, 4.342 and 8.702 Å and the angles 90.00°, 103.63° and 90.00°. The asymmetric unit holds Sm at (0.001, 0.000, 0.244), Sm at (0.167, 0.500, 0.093), Te at (0.000, 0.500, 0.500), Te at (0.164, 0.000, 0.338), Te at (0.165, 0.000, 0.830) and S at (0.000, 0.500, 0.000).

Its total energy is -5.295 eV per atom. As for the density: 6.02 g/cm3. As for the energy relative to the elements, uncorrected: -1.423 eV per atom. As for the spin magnetization: 0.0 μB per formula unit. The calculated volume is 35.05 Å³ per atom.

Record 3
## Tb3Ta5H12 (PBE-GGA)

Data for Tb3Ta5H12 after structural relaxation.

The structure belongs to space group Ia-3d (No. 230); the cell edges are 11.840, 11.840 and 11.840 Å and the angles 90.00°, 90.00° and 90.00°. The asymmetric unit holds Tb at (0.000, 0.250, 0.125), Ta at (0.000, 0.000, 0.000), Ta at (0.000, 0.250, 0.375) and H at (0.016, 0.064, 0.648).

Its total energy is -5.900 eV per atom. As for the density: 11.15 g/cm3. As for the spin magnetization: 0.0 μB per formula unit. The calculated volume is 10.37 Å³ per atom.

Record 4
## Rb3AsS3 (PBE-GGA)

Data for Rb3AsS3 after structural relaxation.

The structure belongs to space group P6_3/m (No. 176); the cell edges are 9.6580, 9.6580 and 6.7527 Å and the angles 90.00°, 90.00° and 120.00°. The asymmetric unit holds Rb at (0.0875, 0.3756, 0.2500), As at (0.3333, 0.6667, 0.7500) and S at (0.1076, 0.4093, 0.7500).

Its total energy is -3.563 eV per atom. As for the density: 2.60 g/cm3. As for the energy relative to the elements, uncorrected: -0.716 eV per atom. As for the spin magnetization: 1.6 μB per formula unit. The calculated volume is 38.96 Å³ per atom.

Record 5
## Tl2ZnI (PBE-GGA)

Data for Tl2ZnI after structural relaxation.

The structure belongs to space group Fm-3m (No. 225); the cell edges are 8.130, 8.130 and 8.130 Å and the angles 90.00°, 90.00° and 90.00°. The asymmetric unit holds Tl at (0.250, 0.250, 0.250), Zn at (0.000, 0.000, 0.000) and I at (0.000, 0.000, 0.500).

Its total energy is -1.875 eV per atom. As for the density: 7.43 g/cm3. As for the energy relative to the elements, uncorrected: 0.015 eV per atom. As for the spin magnetization: 0.0 μB per formula unit. The calculated volume is 33.59 Å³ per atom.

Record 6
## Tb2NdDyTe6 (PBE-GGA)

Data for Tb2NdDyTe6 after structural relaxation.

The structure belongs to space group R3 (No. 146, hexagonal axes); the cell edges are 7.7800, 7.7800 and 21.2266 Å and the angles 90.00°, 90.00° and 120.00°. The asymmetric unit holds Tb at (0.0000, 0.0000, 0.0000), Tb at (0.0000, 0.0000, 0.4982), Nd at (0.0000, 0.0000, 0.1882), Dy at (0.0000, 0.0000, 0.6858), Te at (0.0014, 0.3165, 0.0909) and Te at (0.0114, 0.6980, 0.5923).

Its total energy is -5.117 eV per atom. As for the density: 6.22 g/cm3. As for the energy relative to the elements, uncorrected: -1.369 eV per atom. As for the spin magnetization: 0.0 μB per formula unit. The calculated volume is 37.09 Å³ per atom.